DFT (meta-GGA SCAN) results for CuNiPt2 at its PBEsol-relaxed geometry.

abc: 3.7161 3.7161 7.5724
angles: 90.00 90.00 90.00
Space group I-4m2 (No. 119)
Asymmetric unit:
Cu (0.0000, 0.0000, 0.0000) [2 per cell]
Ni (0.0000, 0.5000, 0.2500) [2 per cell]
Pt (0.0000, 0.0000, 0.5000) [2 per cell]
Pt (0.0000, 0.5000, 0.7500) [2 per cell]

Calculated values
Calculated formation energy in eV/atom: -0.105
Calculated volume in Å³ per cell: 104.6
Calculated density in g/cm3: 16.27
DOS at the Fermi energy in states/eV/atom: 0.726
Electronic total energy in eV per atom: -43.04


DFT (meta-GGA SCAN) results for CuNiPt2 at its PBEsol-relaxed geometry.

abc: 2.6579 4.0428 5.0484
angles: 90.00 105.26 90.00
Space group Pm (No. 6)
Asymmetric unit:
Cu (0.0000, 0.0000, 0.0000) [1 per cell]
Ni (0.1378, 0.5000, 0.2709) [1 per cell]
Pt (0.3962, 0.5000, 0.7916) [1 per cell]
Pt (0.7380, 0.0000, 0.4738) [1 per cell]

Calculated values
Calculated formation energy in eV/atom: -0.095
Calculated volume in Å³ per cell: 52.3
Calculated density in g/cm3: 16.26
DOS at the Fermi energy in states/eV/atom: 0.496
Electronic total energy in eV per atom: -43.04


DFT (meta-GGA SCAN) results for CuNiPt at its PBEsol-relaxed geometry.

abc: 2.6502 3.5930 7.7919
angles: 90.00 90.00 90.00
Space group Imm2 (No. 44)
Asymmetric unit:
Cu (0.0000, 0.0000, 0.0000) [2 per cell]
Ni (0.0000, 0.0000, 0.3384) [2 per cell]
Pt (0.0000, 0.0000, 0.6713) [2 per cell]

Calculated values
Calculated formation energy in eV/atom: -0.122
Calculated volume in Å³ per cell: 74.2
Calculated density in g/cm3: 14.20
DOS at the Fermi energy in states/eV/atom: 0.408
Distance to the lowest polymorph of the same formula in eV per atom: 0.000
Electronic total energy in eV per atom: -33.98


DFT (meta-GGA SCAN) results for CuNi2Pt at its PBEsol-relaxed geometry.

abc: 2.6031 2.6031 24.6488
angles: 90.00 90.00 120.00
Space group R3m (No. 160, hexagonal axes)
Asymmetric unit:
Cu (0.0000, 0.0000, 0.0000) [3 per cell]
Ni (0.0000, 0.0000, 0.4898) [3 per cell]
Ni (0.0000, 0.0000, 0.7466) [3 per cell]
Pt (0.0000, 0.0000, 0.2441) [3 per cell]

Calculated values
Calculated formation energy in eV/atom: -0.021
Calculated volume in Å³ per cell: 144.7
Calculated density in g/cm3: 12.95
DOS at the Fermi energy in states/eV/atom: 0.663
Electronic total energy in eV per atom: -29.46


DFT (meta-GGA SCAN) results for CuRe2Ni at its PBEsol-relaxed geometry.

abc: 3.7141 3.7141 7.4033
angles: 90.00 90.00 90.00
Space group I-4m2 (No. 119)
Asymmetric unit:
Cu (0.0000, 0.0000, 0.0000) [2 per cell]
Re (0.0000, 0.0000, 0.5000) [2 per cell]
Re (0.0000, 0.5000, 0.7500) [2 per cell]
Ni (0.0000, 0.5000, 0.2500) [2 per cell]

Calculated values
Calculated formation energy in eV/atom: 0.121
Calculated volume in Å³ per cell: 102.1
Calculated density in g/cm3: 16.09
DOS at the Fermi energy in states/eV/atom: 0.706
Distance to the lowest polymorph of the same formula in eV per atom: 0.000
Electronic total energy in eV per atom: -43.27


DFT (meta-GGA SCAN) results for Cu2ReNi at its PBEsol-relaxed geometry.

abc: 8.4139 2.5306 4.5671
angles: 90.00 98.34 90.00
Space group Cm (No. 8)
Asymmetric unit:
Cu (0.0000, 0.0000, 0.0000) [2 per cell]
Cu (0.2492, 0.0000, 0.7799) [2 per cell]
Re (0.2543, 0.5000, 0.2868) [2 per cell]
Ni (0.0028, 0.5000, 0.4959) [2 per cell]

Calculated values
Calculated formation energy in eV/atom: 0.203
Calculated volume in Å³ per cell: 96.2
Calculated density in g/cm3: 12.84
DOS at the Fermi energy in states/eV/atom: 0.704
Distance to the lowest polymorph of the same formula in eV per atom: 0.019
Electronic total energy in eV per atom: -29.21


DFT (meta-GGA SCAN) results for CuRe2Ni at its PBEsol-relaxed geometry.

abc: 3.6293 3.6293 7.7509
angles: 90.00 90.00 90.00
Space group I4/mmm (No. 139)
Asymmetric unit:
Cu (0.0000, 0.0000, 0.0000) [2 per cell]
Re (0.0000, 0.5000, 0.2500) [4 per cell]
Ni (0.0000, 0.0000, 0.5000) [2 per cell]

Calculated values
Calculated formation energy in eV/atom: 0.200
Calculated volume in Å³ per cell: 102.1
Calculated density in g/cm3: 16.09
DOS at the Fermi energy in states/eV/atom: 0.609
Distance to the lowest polymorph of the same formula in eV per atom: 0.079
Electronic total energy in eV per atom: -43.19


DFT (meta-GGA SCAN) results for Cu2ReNi at its PBEsol-relaxed geometry.

abc: 2.5408 3.6558 5.1780
angles: 90.00 90.00 90.00
Space group Pmm2 (No. 25)
Asymmetric unit:
Cu (0.0000, 0.0000, 0.0000) [1 per cell]
Cu (0.5000, 0.5000, 0.2303) [1 per cell]
Re (0.5000, 0.5000, 0.7217) [1 per cell]
Ni (0.0000, 0.0000, 0.4996) [1 per cell]

Calculated values
Calculated formation energy in eV/atom: 0.183
Calculated volume in Å³ per cell: 48.1
Calculated density in g/cm3: 12.84
DOS at the Fermi energy in states/eV/atom: 0.617
Distance to the lowest polymorph of the same formula in eV per atom: 0.000
Electronic total energy in eV per atom: -29.23


DFT (meta-GGA SCAN) results for CuRe2Ni at its PBEsol-relaxed geometry.

abc: 2.5719 3.8511 5.1499
angles: 90.00 90.00 90.00
Space group Pmmm (No. 47)
Asymmetric unit:
Cu (0.0000, 0.0000, 0.0000) [1 per cell]
Re (0.5000, 0.5000, 0.2553) [2 per cell]
Ni (0.0000, 0.0000, 0.5000) [1 per cell]

Calculated values
Calculated formation energy in eV/atom: 0.211
Calculated volume in Å³ per cell: 51.0
Calculated density in g/cm3: 16.10
DOS at the Fermi energy in states/eV/atom: 0.784
Distance to the lowest polymorph of the same formula in eV per atom: 0.090
Electronic total energy in eV per atom: -43.18


DFT (meta-GGA SCAN) results for TiCuRe2Ni at its PBEsol-relaxed geometry.

abc: 4.3788 4.3788 4.1758
angles: 90.00 90.00 90.00
Space group P4/mmm (No. 123)
Asymmetric unit:
Ti (0.0000, 0.0000, 0.0000) [1 per cell]
Cu (0.5000, 0.5000, 0.0000) [1 per cell]
Re (0.0000, 0.5000, 0.5000) [2 per cell]
Ni (0.5000, 0.5000, 0.5000) [1 per cell]

Calculated values
Calculated formation energy in eV/atom: 1.201
Calculated volume in Å³ per cell: 80.1
Calculated density in g/cm3: 11.25
DOS at the Fermi energy in states/eV/atom: 1.417
Electronic total energy in eV per atom: -36.72


DFT (meta-GGA SCAN) results for Cu2NiRh at its PBEsol-relaxed geometry.

abc: 3.6306 3.6306 7.1143
angles: 90.00 90.00 90.00
Space group I-4m2 (No. 119)
Asymmetric unit:
Cu (0.0000, 0.0000, 0.0000) [2 per cell]
Cu (0.0000, 0.5000, 0.2500) [2 per cell]
Ni (0.0000, 0.0000, 0.5000) [2 per cell]
Rh (0.0000, 0.5000, 0.7500) [2 per cell]

Calculated values
Calculated formation energy in eV/atom: 0.054
Calculated volume in Å³ per cell: 93.8
Calculated density in g/cm3: 10.22
DOS at the Fermi energy in states/eV/atom: 0.646
Distance to the lowest polymorph of the same formula in eV per atom: 0.013
Electronic total energy in eV per atom: -20.03


DFT (meta-GGA SCAN) results for Cu2NiRh at its PBEsol-relaxed geometry.

abc: 3.5706 3.5706 3.6802
angles: 90.00 90.00 90.00
Space group P4/mmm (No. 123)
Asymmetric unit:
Cu (0.0000, 0.5000, 0.0000) [2 per cell]
Ni (0.0000, 0.0000, 0.5000) [1 per cell]
Rh (0.5000, 0.5000, 0.5000) [1 per cell]

Calculated values
Calculated formation energy in eV/atom: 0.106
Calculated volume in Å³ per cell: 46.9
Calculated density in g/cm3: 10.22
DOS at the Fermi energy in states/eV/atom: 1.261
Distance to the lowest polymorph of the same formula in eV per atom: 0.065
Electronic total energy in eV per atom: -19.98


DFT (meta-GGA SCAN) results for Cu2NiRh at its PBEsol-relaxed geometry.

abc: 2.5739 2.5739 24.6785
angles: 90.00 90.00 120.00
Space group R3m (No. 160, hexagonal axes)
Asymmetric unit:
Cu (0.0000, 0.0000, 0.0000) [3 per cell]
Cu (0.0000, 0.0000, 0.2516) [3 per cell]
Ni (0.0000, 0.0000, 0.5043) [3 per cell]
Rh (0.0000, 0.0000, 0.7541) [3 per cell]

Calculated values
Calculated formation energy in eV/atom: 0.041
Calculated volume in Å³ per cell: 141.6
Calculated density in g/cm3: 10.16
DOS at the Fermi energy in states/eV/atom: 0.468
Distance to the lowest polymorph of the same formula in eV per atom: 0.000
Electronic total energy in eV per atom: -20.04


DFT (meta-GGA SCAN) results for Cu2NiRh at its PBEsol-relaxed geometry.

abc: 8.4902 2.5634 4.3779
angles: 90.00 100.96 90.00
Space group C2/m (No. 12)
Asymmetric unit:
Cu (0.2469, 0.0000, 0.2433) [4 per cell]
Ni (0.0000, 0.5000, 0.0000) [2 per cell]
Rh (0.0000, 0.0000, 0.5000) [2 per cell]

Calculated values
Calculated formation energy in eV/atom: 0.059
Calculated volume in Å³ per cell: 93.5
Calculated density in g/cm3: 10.25
DOS at the Fermi energy in states/eV/atom: 0.847
Distance to the lowest polymorph of the same formula in eV per atom: 0.017
Electronic total energy in eV per atom: -20.03